First-principles (PBE) data for a relaxed Y5C4 crystal, as listed in the Alexandria database.

Formation energy in meV/atom: 961.3
E in eV for the cell shown: -60.6
E above lowest polymorph in meV per atom: 873
D(E_F) in states/eV/atom: 0.58

Unit cell a=6.3568 b=6.3568 c=6.3568 alpha=100.29 beta=100.29 gamma=130.00
Last column: nearest neighbours and their distance in Å.
Positions (direct):
Y1 0.0000 0.0000 0.0000  4 C 2.29
Y2 0.2978 0.2978 0.5955  2 C 2.43
Y3 0.2978 0.7022 0.0000  2 C 2.43
Y4 0.7022 0.2978 0.0000  2 C 2.43
Y5 0.7022 0.7022 0.4045  2 C 2.43
C1 0.0000 0.2807 0.2807  3 Y 2.29-2.43
C2 0.0000 0.7193 0.7193  3 Y 2.29-2.43
C3 0.2807 0.0000 0.2807  3 Y 2.29-2.43
C4 0.7193 0.0000 0.7193  3 Y 2.29-2.43

First-principles (PBE) data for a relaxed YC2 crystal, as listed in the Alexandria database.

Formation energy in meV/atom: 140.6
E in eV for the cell shown: -24.5
E above lowest polymorph in meV per atom: 324
D(E_F) in states/eV/atom: 0.47

Unit cell a=3.5787 b=3.5787 c=4.3021 alpha=90.00 beta=90.00 gamma=120.00
Last column: nearest neighbours and their distance in Å.
Positions (direct):
Y1 0.0000 0.0000 0.0000  6 C 2.56
C1 0.6667 0.3333 0.3508  1 C 1.28
C2 0.6667 0.3333 0.6492  1 C 1.28

First-principles (PBE) data for a relaxed Y3C crystal, as listed in the Alexandria database.

Formation energy in meV/atom: -108.9
E in eV for the cell shown: -29.1
E above lowest polymorph in meV per atom: 55
D(E_F) in states/eV/atom: 1.19

Unit cell a=6.3167 b=6.3167 c=3.5916 alpha=90.00 beta=90.00 gamma=132.76
Last column: nearest neighbours and their distance in Å.
Positions (direct):
Y1 0.0000 0.0000 0.0000  2 C 2.53
Y2 0.3557 0.6443 0.5000  2 C 2.45
Y3 0.6443 0.3557 0.5000  2 C 2.45
C1 0.5000 0.5000 0.0000  6 Y 2.45-2.53